Record 1
A plane-wave DFT calculation with PBEsol was carried out for crystalline ZnW2C at its relaxed geometry.

Output
Spin magnetization ... 0.00 Bohr magnetons per cell
V ... 196.5 Å³/cell
Density ... 15048 kg/m3
Final energy ... -8.511 eV/atom
ΔH_f (0 K) ... 1.199 eV per atom

Cell lengths 5.8134, 5.8134, 5.8134 Å; angles 90.00, 90.00, 90.00 degrees
Space group Fm-3m (No. 225)
Unique sites:
Zn 0.0000 0.0000 0.0000
W 0.2500 0.2500 0.2500
C 0.0000 0.0000 0.5000

***

Record 2
A plane-wave DFT calculation with PBEsol was carried out for crystalline InRe2O2 at its relaxed geometry.

Output
Spin magnetization ... 0.00 Bohr magnetons per cell
V ... 137.3 Å³/cell
Energy relative to the elements, uncorrected ... 0.21 eV/atom
Density ... 12558 kg/m3
Final energy ... -7.823 eV/atom

Cell lengths 3.9260, 3.9260, 8.9083 Å; angles 90.00, 90.00, 90.00 degrees
Space group I4/mmm (No. 139)
Unique sites:
In 0.0000 0.0000 0.0000
Re 0.0000 0.5000 0.2500
O 0.0000 0.0000 0.3402

***

Record 3
A plane-wave DFT calculation with PBEsol was carried out for crystalline Li2CrCo at its relaxed geometry.

Output
Spin magnetization ... 2.73 Bohr magnetons per cell
V ... 91.6 Å³/cell
Density ... 4525 kg/m3
Final energy ... -5.071 eV/atom
ΔH_f (0 K) ... 0.407 eV per atom

Cell lengths 4.7456, 9.0471, 2.3737 Å; angles 90.00, 116.00, 90.00 degrees
Space group C2/m (No. 12)
Unique sites:
Li 0.2500 0.2500 0.0000
Cr 0.0000 0.0000 0.5000
Co 0.0000 0.5000 0.5000

***

Record 4
A plane-wave DFT calculation with PBEsol was carried out for crystalline La2PtAu at its relaxed geometry.

Output
Spin magnetization ... 0.00 Bohr magnetons per cell
V ... 202.7 Å³/cell
Density ... 10975 kg/m3
Final energy ... -6.336 eV/atom
ΔH_f (0 K) ... -0.940 eV per atom

Cell lengths 4.5965, 3.9575, 11.1430 Å; angles 90.00, 90.00, 90.00 degrees
Space group Amm2 (No. 38)
Unique sites:
La 0.0000 0.0000 0.0000
La 0.5000 0.0000 0.2726
Pt 0.0000 0.0000 0.7291
Au 0.5000 0.0000 0.5510

***

Record 5
A plane-wave DFT calculation with PBEsol was carried out for crystalline RbMgTl2 at its relaxed geometry.

Output
Spin magnetization ... 0.00 Bohr magnetons per cell
V ... 483.9 Å³/cell
Density ... 7118 kg/m3
Final energy ... -1.953 eV/atom
ΔH_f (0 K) ... 0.048 eV per atom

Cell lengths 7.8508, 7.8508, 7.8508 Å; angles 90.00, 90.00, 90.00 degrees
Space group Fm-3m (No. 225)
Unique sites:
Rb 0.0000 0.0000 0.0000
Mg 0.0000 0.0000 0.5000
Tl 0.2500 0.2500 0.2500

***

Record 6
A plane-wave DFT calculation with PBEsol was carried out for crystalline BaCoSe2 at its relaxed geometry.

Output
Spin magnetization ... 9.85 Bohr magnetons per cell
V ... 365.1 Å³/cell
Energy relative to the elements, uncorrected ... 0.11 eV/atom
Density ... 6444 kg/m3
Final energy ... -4.286 eV/atom

Cell lengths 7.1470, 7.1470, 7.1470 Å; angles 90.00, 90.00, 90.00 degrees
Space group F-43m (No. 216)
Unique sites:
Ba 0.0000 0.0000 0.0000
Co 0.2500 0.2500 0.2500
Se 0.0000 0.0000 0.5000
Se 0.2500 0.2500 0.7500

***

Record 7
A plane-wave DFT calculation with PBEsol was carried out for crystalline MnMoPb2 at its relaxed geometry.

Output
Spin magnetization ... 0.24 Bohr magnetons per cell
V ... 80.2 Å³/cell
Density ... 11703 kg/m3
Final energy ... -7.008 eV/atom
ΔH_f (0 K) ... 0.374 eV per atom
Offset from the most stable computed form ... 0.0 meV per atom

Cell lengths 3.1003, 3.1003, 8.3441 Å; angles 90.00, 90.00, 90.00 degrees
Space group P4mm (No. 99)
Unique sites:
Mn 0.0000 0.0000 0.0000
Mo 0.5000 0.5000 0.1390
Pb 0.0000 0.0000 0.3962
Pb 0.5000 0.5000 0.7640

***

Record 8
A plane-wave DFT calculation with PBEsol was carried out for crystalline LaSnS2N at its relaxed geometry.

Output
Spin magnetization ... 0.00 Bohr magnetons per cell
V ... 100.1 Å³/cell
Energy relative to the elements, uncorrected ... -0.58 eV/atom
Density ... 5567 kg/m3
Final energy ... -5.964 eV/atom

Cell lengths 4.9987, 4.9987, 4.0079 Å; angles 90.00, 90.00, 90.00 degrees
Space group P4/mmm (No. 123)
Unique sites:
La 0.0000 0.0000 0.0000
Sn 0.5000 0.5000 0.5000
S 0.0000 0.5000 0.5000
N 0.5000 0.5000 0.0000

***

Record 9
A plane-wave DFT calculation with PBEsol was carried out for crystalline Rh2WBr at its relaxed geometry.

Output
Spin magnetization ... 0.00 Bohr magnetons per cell
V ... 121.7 Å³/cell
Energy relative to the elements, uncorrected ... 0.55 eV/atom
Density ... 12815 kg/m3
Final energy ... -7.443 eV/atom
Offset from the most stable computed form ... 66.5 meV per atom

Cell lengths 9.1361, 2.8789, 4.6350 Å; angles 90.00, 93.44, 90.00 degrees
Space group C2/m (No. 12)
Unique sites:
Rh 0.2318 0.0000 0.2350
W 0.0000 0.5000 0.0000
Br 0.0000 0.0000 0.5000

***

Record 10
A plane-wave DFT calculation with PBEsol was carried out for crystalline Si2RuPt at its relaxed geometry.

Output
Spin magnetization ... 0.00 Bohr magnetons per cell
V ... 52.7 Å³/cell
Energy relative to the elements, uncorrected ... -0.41 eV/atom
Density ... 11110 kg/m3
Final energy ... -7.571 eV/atom

Cell lengths 3.9735, 3.9735, 3.3353 Å; angles 90.00, 90.00, 90.00 degrees
Space group P4/mmm (No. 123)
Unique sites:
Si 0.0000 0.5000 0.0000
Ru 0.0000 0.0000 0.5000
Pt 0.5000 0.5000 0.5000

***

Record 11
A plane-wave DFT calculation with PBEsol was carried out for crystalline YCl5 at its relaxed geometry.

Output
Spin magnetization ... 0.00 Bohr magnetons per cell
V ... 372.4 Å³/cell
Energy relative to the elements, uncorrected ... -1.43 eV/atom
Density ... 2374 kg/m3
Final energy ... -4.241 eV/atom

Cell lengths 13.9380, 3.8496, 7.3839 Å; angles 90.00, 109.96, 90.00 degrees
Space group Cm (No. 8)
Unique sites:
Y 0.0000 0.0000 0.0000
Cl 0.0157 0.5000 0.2506
Cl 0.0421 0.5000 0.7966
Cl 0.2266 0.0000 0.1718
Cl 0.2551 0.0000 0.4568
Cl 0.3137 0.5000 0.8464

***

Record 12
A plane-wave DFT calculation with PBEsol was carried out for crystalline Y2AsP at its relaxed geometry.

Output
Spin magnetization ... 0.00 Bohr magnetons per cell
V ... 86.8 Å³/cell
Density ... 5427 kg/m3
Final energy ... -7.325 eV/atom
ΔH_f (0 K) ... -1.189 eV per atom

Cell lengths 3.6538, 4.2886, 5.5399 Å; angles 90.00, 90.00, 90.00 degrees
Space group Pmmm (No. 47)
Unique sites:
Y 0.0000 0.0000 0.0000
Y 0.0000 0.5000 0.5000
As 0.5000 0.0000 0.5000
P 0.5000 0.5000 0.0000